Record 1
Here is a relaxed structure of LiZn2Ir from OQMD. Energies are from PBE.

Calculated values
Total magnetization   0.004 μB/cell
Space-group type   Imma (74)
ΔE to the lowest computed polymorph   0.07 eV/f.u.

a b c (Å): 6.0115 6.0639 5.9928
angles (deg): 90.00 90.00 90.00
Element x y z (fractional)
Ir1 0.7506 0.2500 0.0000
Ir2 0.2494 0.7500 0.0000
Ir3 0.2506 0.7500 0.5000
Ir4 0.7494 0.2500 0.5000
Li1 0.2490 0.2500 0.0000
Li2 0.7510 0.7500 0.0000
Li3 0.7490 0.7500 0.5000
Li4 0.2510 0.2500 0.5000
Zn1 0.5000 0.0000 0.2494
Zn2 0.5000 0.5000 0.2494
Zn3 0.0000 0.0000 0.2506
Zn4 0.0000 0.5000 0.2506
Zn5 0.0000 0.0000 0.7494
Zn6 0.0000 0.5000 0.7494
Zn7 0.5000 0.0000 0.7506
Zn8 0.5000 0.5000 0.7506

Record 2
Here is a relaxed structure of LiZn2Ir from OQMD. Energies are from PBE.

Calculated values
Total magnetization   0.008 μB/cell
Space-group type   P6_3/mmc (194)
ΔE to the lowest computed polymorph   1.08 eV/f.u.

a b c (Å): 4.2565 4.2565 7.6829
angles (deg): 90.00 90.00 120.00
Element x y z (fractional)
Ir1 0.0000 0.0000 0.0000
Ir2 0.0000 0.0000 0.5000
Li1 0.3333 0.6667 0.2500
Li2 0.6667 0.3333 0.7500
Zn1 0.6667 0.3333 0.0856
Zn2 0.6667 0.3333 0.4144
Zn3 0.3333 0.6667 0.5856
Zn4 0.3333 0.6667 0.9144

Record 3
Here is a relaxed structure of Li2ZnIr from OQMD. Energies are from PBE.

Calculated values
Total magnetization   0.001 μB/cell
Electronic total energy   -3.69 eV per atom
Space-group type   F-43m (216)

a b c (Å): 4.2211 4.2211 4.2211
angles (deg): 60.00 60.00 60.00
Element x y z (fractional)
Ir1 0.2500 0.2500 0.2500
Li1 0.5000 0.5000 0.5000
Li2 0.7500 0.7500 0.7500
Zn1 0.0000 0.0000 0.0000

Look up the total magnetization of the second one. 0.008 μB/cell

The highest total magnetization belongs to which entry? number 2

Look up the total magnetization of the third one. 0.001 μB/cell

Which formula does entry 2 have? LiZn2Ir